1.
Na2Zn3Sn5 PBE optimized geometry; space-group type = Ibam, No. 72
1.0
-5.938 6.538 3.357
5.938 -6.538 3.357
5.938 6.538 -3.357
Na Zn Sn
4 6 10
Direct
0.136 0.246 0.381 Na
0.364 0.746 0.110 Na
0.636 0.254 0.890 Na
0.864 0.754 0.619 Na
0.125 0.868 0.993 Zn
0.250 0.750 0.500 Zn
0.375 0.368 0.743 Zn
0.625 0.632 0.257 Zn
0.750 0.250 0.500 Zn
0.875 0.132 0.007 Zn
0.004 0.750 0.254 Sn
0.107 0.646 0.753 Sn
0.250 0.250 0.000 Sn
0.393 0.146 0.539 Sn
0.496 0.750 0.746 Sn
0.504 0.250 0.254 Sn
0.607 0.854 0.461 Sn
0.750 0.750 0.000 Sn
0.893 0.354 0.247 Sn
0.996 0.250 0.746 Sn

=====

2.
Re2MoAu PBE optimized geometry; polymorph energy (0 for the lowest one) = 106.2 meV/atom; space-group type = Cm, No. 8
1.0
4.674 -1.433 0.000
4.674 1.433 0.000
-0.933 0.000 4.725
Re Mo Au
2 1 1
Direct
0.000 0.000 0.000 Re
0.739 0.739 0.213 Re
0.487 0.487 0.460 Mo
0.244 0.244 0.721 Au

=====

3.
EuGdRh2 PBE optimized geometry; space-group type = Fm-3m, No. 225
1.0
0.000 3.483 3.483
3.483 0.000 3.483
3.483 3.483 0.000
Eu Gd Rh
1 1 2
Direct
0.000 0.000 0.000 Eu
0.500 0.500 0.500 Gd
0.250 0.250 0.250 Rh
0.750 0.750 0.750 Rh

=====

| no. | raw total energy (hartree per atom) | energy of formation from the pure elements (eV per atom) |
| --- | --- | --- |
| 1 | -0.100 | -0.065 |
| 2 | -0.347 | 0.315 |
| 3 | -0.379 | -0.561 |